No. 1
DFT (PBE) results for crystalline Tl5CdHg4 at its relaxed geometry.

## Properties
V: 29.33 A^3/atom
Energy of formation: 0.03 eV per atom
Magnetic moment: 0.00 Bohr magnetons per cell
Symmetry: C2/m (12)

Cell: 8.658 8.658 9.739 Å, 101.29 101.29 24.20°
Element x y z (fractional)
Tl 0.000 0.000 0.000
Tl 0.312 0.312 0.906
Tl 0.354 0.354 0.284
Tl 0.646 0.646 0.716
Tl 0.688 0.688 0.094
Cd 0.000 0.000 0.500
Hg 0.183 0.183 0.419
Hg 0.459 0.459 0.727
Hg 0.541 0.541 0.273
Hg 0.817 0.817 0.581



No. 2
DFT (PBE) results for crystalline TlCd2Hg7 at its relaxed geometry.

## Properties
V: 32.58 A^3/atom
Energy of formation: 0.08 eV per atom
Magnetic moment: 0.00 Bohr magnetons per cell
Symmetry: Cmmm (65)

Cell: 9.135 9.135 4.719 Å, 90.00 90.00 124.18°
Element x y z (fractional)
Tl 0.000 0.000 0.000
Cd 0.315 0.685 0.500
Cd 0.685 0.315 0.500
Hg 0.071 0.299 0.500
Hg 0.211 0.789 0.000
Hg 0.299 0.071 0.500
Hg 0.500 0.500 0.500
Hg 0.701 0.929 0.500
Hg 0.789 0.211 0.000
Hg 0.929 0.701 0.500



No. 3
DFT (PBE) results for crystalline TlCd2Hg at its relaxed geometry.

## Properties
V: 25.94 A^3/atom
Energy of formation: 0.03 eV per atom
Magnetic moment: 0.00 Bohr magnetons per cell
Symmetry: Cm (8)

Cell: 5.832 5.832 5.213 Å, 103.28 103.28 37.10°
Element x y z (fractional)
Tl 0.000 0.000 0.000
Cd 0.498 0.498 0.499
Cd 0.755 0.755 0.252
Hg 0.244 0.244 0.735



No. 4
DFT (PBE) results for crystalline Tl3CdHg8 at its relaxed geometry.

## Properties
V: 27.72 A^3/atom
Energy of formation: -0.01 eV per atom
Magnetic moment: 0.00 Bohr magnetons per cell
Symmetry: Cm (8)

Cell: 7.509 7.509 6.495 Å, 106.93 106.93 91.49°
Element x y z (fractional)
Tl 0.000 0.000 0.000
Tl 0.002 0.500 0.999
Tl 0.500 0.002 0.999
Cd 0.498 0.498 0.996
Hg 0.165 0.165 0.644
Hg 0.171 0.659 0.658
Hg 0.340 0.340 0.334
Hg 0.344 0.828 0.339
Hg 0.659 0.171 0.658
Hg 0.660 0.660 0.667
Hg 0.828 0.344 0.339
Hg 0.830 0.830 0.349



No. 5
DFT (PBE) results for crystalline TlCd2Hg at its relaxed geometry.

## Properties
V: 26.37 A^3/atom
Energy of formation: 0.05 eV per atom
Magnetic moment: 0.00 Bohr magnetons per cell
Symmetry: Cmmm (65)

Cell: 3.401 3.401 10.741 Å, 90.00 90.00 121.88°
Element x y z (fractional)
Tl 0.000 0.000 0.000
Cd 0.500 0.500 0.262
Cd 0.500 0.500 0.738
Hg 0.000 0.000 0.500



No. 6
DFT (PBE) results for crystalline Tl3CdHg3 at its relaxed geometry.

## Properties
V: 29.85 A^3/atom
Energy of formation: 0.02 eV per atom
Magnetic moment: 0.00 Bohr magnetons per cell
Symmetry: Cmmm (65)

Cell: 6.970 6.970 8.601 Å, 90.00 90.00 90.36°
Element x y z (fractional)
Tl 0.000 0.000 0.245
Tl 0.000 0.000 0.755
Tl 0.000 0.500 0.249
Tl 0.000 0.500 0.751
Tl 0.500 0.000 0.249
Tl 0.500 0.000 0.751
Cd 0.259 0.741 0.000
Cd 0.741 0.259 0.000
Hg 0.260 0.260 0.500
Hg 0.286 0.714 0.500
Hg 0.296 0.296 0.000
Hg 0.704 0.704 0.000
Hg 0.714 0.286 0.500
Hg 0.740 0.740 0.500



No. 7
DFT (PBE) results for crystalline TlCd7Hg12 at its relaxed geometry.

## Properties
V: 26.57 A^3/atom
Energy of formation: 0.03 eV per atom
Magnetic moment: 0.00 Bohr magnetons per cell
Symmetry: R-3 (148)

Cell: 9.060 9.060 9.060 Å, 111.26 111.26 111.26°
Element x y z (fractional)
Tl 0.000 0.000 0.000
Cd 0.143 0.458 0.237
Cd 0.237 0.143 0.458
Cd 0.458 0.237 0.143
Cd 0.500 0.500 0.500
Cd 0.542 0.763 0.857
Cd 0.763 0.857 0.542
Cd 0.857 0.542 0.763
Hg 0.013 0.718 0.193
Hg 0.120 0.430 0.574
Hg 0.193 0.013 0.718
Hg 0.282 0.807 0.987
Hg 0.426 0.880 0.570
Hg 0.430 0.574 0.120
Hg 0.570 0.426 0.880
Hg 0.574 0.120 0.430
Hg 0.718 0.193 0.013
Hg 0.807 0.987 0.282
Hg 0.880 0.570 0.426
Hg 0.987 0.282 0.807



No. 8
DFT (PBE) results for crystalline Tl4Cd3Hg16 at its relaxed geometry.

## Properties
V: 28.26 A^3/atom
Energy of formation: 0.00 eV per atom
Magnetic moment: 0.00 Bohr magnetons per cell
Symmetry: P4/mmm (123)

Cell: 7.245 7.245 12.381 Å, 90.00 90.00 90.00°
Element x y z (fractional)
Tl 0.000 0.500 0.179
Tl 0.000 0.500 0.821
Tl 0.500 0.000 0.179
Tl 0.500 0.000 0.821
Cd 0.000 0.000 0.000
Cd 0.000 0.500 0.500
Cd 0.500 0.000 0.500
Hg 0.000 0.000 0.233
Hg 0.000 0.000 0.767
Hg 0.257 0.257 0.367
Hg 0.257 0.257 0.633
Hg 0.257 0.743 0.367
Hg 0.257 0.743 0.633
Hg 0.286 0.286 0.000
Hg 0.286 0.714 0.000
Hg 0.500 0.500 0.203
Hg 0.500 0.500 0.797
Hg 0.714 0.286 0.000
Hg 0.714 0.714 0.000
Hg 0.743 0.257 0.367
Hg 0.743 0.257 0.633
Hg 0.743 0.743 0.367
Hg 0.743 0.743 0.633



No. 9
DFT (PBE) results for crystalline TlCd2Hg at its relaxed geometry.

## Properties
V: 26.17 A^3/atom
Energy of formation: 0.03 eV per atom
Magnetic moment: 0.00 Bohr magnetons per cell
Symmetry: Pmm2 (25)

Cell: 3.696 4.193 6.756 Å, 90.00 90.00 90.00°
Element x y z (fractional)
Tl 0.000 0.000 0.000
Cd 0.000 0.000 0.498
Cd 0.500 0.500 0.264
Hg 0.500 0.500 0.732



No. 10
DFT (PBE) results for crystalline TlCdHg3 at its relaxed geometry.

## Properties
V: 27.55 A^3/atom
Energy of formation: 0.01 eV per atom
Magnetic moment: 0.00 Bohr magnetons per cell
Symmetry: P2_1/c (14)

Cell: 4.959 10.327 11.301 Å, 90.00 107.82 90.00°
Element x y z (fractional)
Tl 0.249 0.138 0.499
Tl 0.249 0.362 0.999
Tl 0.751 0.638 0.001
Tl 0.751 0.862 0.501
Cd 0.035 0.095 0.115
Cd 0.035 0.405 0.615
Cd 0.965 0.595 0.385
Cd 0.965 0.905 0.885
Hg 0.124 0.635 0.804
Hg 0.124 0.865 0.304
Hg 0.367 0.623 0.202
Hg 0.367 0.877 0.702
Hg 0.484 0.110 0.898
Hg 0.484 0.390 0.398
Hg 0.516 0.610 0.602
Hg 0.516 0.890 0.102
Hg 0.633 0.123 0.298
Hg 0.633 0.377 0.798
Hg 0.876 0.135 0.696
Hg 0.876 0.365 0.196



No. 11
DFT (PBE) results for crystalline Tl17CdHg11 at its relaxed geometry.

## Properties
V: 28.91 A^3/atom
Energy of formation: 0.00 eV per atom
Magnetic moment: 0.00 Bohr magnetons per cell
Symmetry: Cm (8)

Cell: 10.330 10.330 10.239 Å, 109.39 109.39 109.87°
Element x y z (fractional)
Tl 0.000 0.000 0.000
Tl 0.001 0.001 0.360
Tl 0.001 0.642 0.359
Tl 0.001 0.679 0.754
Tl 0.002 0.391 0.039
Tl 0.286 0.606 0.967
Tl 0.320 0.320 0.067
Tl 0.322 0.716 0.681
Tl 0.362 0.362 0.720
Tl 0.391 0.002 0.039
Tl 0.396 0.681 0.361
Tl 0.606 0.286 0.967
Tl 0.612 0.612 0.650
Tl 0.642 0.001 0.359
Tl 0.679 0.001 0.754
Tl 0.681 0.396 0.361
Tl 0.716 0.322 0.681
Cd 0.819 0.819 0.549
Hg 0.003 0.370 0.546
Hg 0.177 0.811 0.172
Hg 0.183 0.996 0.721
Hg 0.190 0.368 0.359
Hg 0.368 0.190 0.359
Hg 0.370 0.003 0.546
Hg 0.631 0.816 0.994
Hg 0.639 0.639 0.193
Hg 0.811 0.177 0.172
Hg 0.816 0.631 0.994
Hg 0.996 0.183 0.721



No. 12
DFT (PBE) results for crystalline Tl4CdHg at its relaxed geometry.

## Properties
V: 29.86 A^3/atom
Energy of formation: 0.03 eV per atom
Magnetic moment: 0.00 Bohr magnetons per cell
Symmetry: C2/c (15)

Cell: 8.231 8.231 6.032 Å, 100.24 100.24 112.28°
Element x y z (fractional)
Tl 0.072 0.685 0.911
Tl 0.217 0.391 0.630
Tl 0.315 0.928 0.589
Tl 0.391 0.217 0.130
Tl 0.609 0.783 0.870
Tl 0.685 0.072 0.411
Tl 0.783 0.609 0.370
Tl 0.928 0.315 0.089
Cd 0.015 0.985 0.250
Cd 0.985 0.015 0.750
Hg 0.383 0.617 0.250
Hg 0.617 0.383 0.750



No. 13
DFT (PBE) results for crystalline Tl7CdHg2 at its relaxed geometry.

## Properties
V: 32.08 A^3/atom
Energy of formation: 0.09 eV per atom
Magnetic moment: 0.00 Bohr magnetons per cell
Symmetry: Cmmm (65)

Cell: 10.200 10.200 3.308 Å, 90.00 90.00 111.25°
Element x y z (fractional)
Tl 0.000 0.000 0.000
Tl 0.135 0.348 0.000
Tl 0.187 0.813 0.500
Tl 0.348 0.135 0.000
Tl 0.652 0.865 0.000
Tl 0.813 0.187 0.500
Tl 0.865 0.652 0.000
Cd 0.500 0.500 0.500
Hg 0.347 0.653 0.000
Hg 0.653 0.347 0.000



No. 14
DFT (PBE) results for crystalline TlCd6Hg12 at its relaxed geometry.

## Properties
V: 26.98 A^3/atom
Energy of formation: 0.03 eV per atom
Magnetic moment: 0.00 Bohr magnetons per cell
Symmetry: R-3m (166)

Cell: 8.411 8.411 8.411 Å, 105.66 105.66 105.66°
Element x y z (fractional)
Tl 0.000 0.000 0.000
Cd 0.300 0.694 0.694
Cd 0.306 0.306 0.700
Cd 0.306 0.700 0.306
Cd 0.694 0.300 0.694
Cd 0.694 0.694 0.300
Cd 0.700 0.306 0.306
Hg 0.107 0.355 0.355
Hg 0.112 0.500 0.888
Hg 0.112 0.888 0.500
Hg 0.355 0.107 0.355
Hg 0.355 0.355 0.107
Hg 0.500 0.112 0.888
Hg 0.500 0.888 0.112
Hg 0.645 0.645 0.893
Hg 0.645 0.893 0.645
Hg 0.888 0.112 0.500
Hg 0.888 0.500 0.112
Hg 0.893 0.645 0.645



No. 15
DFT (PBE) results for crystalline Tl2Cd15Hg2 at its relaxed geometry.

## Properties
V: 24.79 A^3/atom
Energy of formation: 0.03 eV per atom
Magnetic moment: 0.00 Bohr magnetons per cell
Symmetry: R-3m (166)

Cell: 7.830 7.830 7.830 Å, 83.30 83.30 83.30°
Element x y z (fractional)
Tl 0.158 0.158 0.158
Tl 0.842 0.842 0.842
Cd 0.000 0.500 0.500
Cd 0.141 0.141 0.661
Cd 0.141 0.661 0.141
Cd 0.200 0.500 0.800
Cd 0.200 0.800 0.500
Cd 0.339 0.859 0.859
Cd 0.500 0.000 0.500
Cd 0.500 0.200 0.800
Cd 0.500 0.500 0.000
Cd 0.500 0.800 0.200
Cd 0.661 0.141 0.141
Cd 0.800 0.200 0.500
Cd 0.800 0.500 0.200
Cd 0.859 0.339 0.859
Cd 0.859 0.859 0.339
Hg 0.391 0.391 0.391
Hg 0.609 0.609 0.609



No. 16
DFT (PBE) results for crystalline TlCdHg6 at its relaxed geometry.

## Properties
V: 27.35 A^3/atom
Energy of formation: 0.00 eV per atom
Magnetic moment: 0.00 Bohr magnetons per cell
Symmetry: Cmmm (65)

Cell: 6.633 6.633 5.540 Å, 90.00 90.00 116.16°
Element x y z (fractional)
Tl 0.000 0.000 0.000
Cd 0.500 0.500 0.000
Hg 0.000 0.500 0.000
Hg 0.241 0.759 0.500
Hg 0.271 0.271 0.500
Hg 0.500 0.000 0.000
Hg 0.729 0.729 0.500
Hg 0.759 0.241 0.500



No. 17
DFT (PBE) results for crystalline TlCd8Hg6 at its relaxed geometry.

## Properties
V: 25.54 A^3/atom
Energy of formation: 0.01 eV per atom
Magnetic moment: 0.00 Bohr magnetons per cell
Symmetry: R-3 (148)

Cell: 7.570 7.570 7.570 Å, 72.33 72.33 72.33°
Element x y z (fractional)
Tl 0.000 0.000 0.000
Cd 0.148 0.816 0.465
Cd 0.184 0.535 0.852
Cd 0.205 0.205 0.205
Cd 0.465 0.148 0.816
Cd 0.535 0.852 0.184
Cd 0.795 0.795 0.795
Cd 0.816 0.465 0.148
Cd 0.852 0.184 0.535
Hg 0.164 0.325 0.584
Hg 0.325 0.584 0.164
Hg 0.416 0.836 0.675
Hg 0.584 0.164 0.325
Hg 0.675 0.416 0.836
Hg 0.836 0.675 0.416



No. 18
DFT (PBE) results for crystalline Tl2Cd16Hg at its relaxed geometry.

## Properties
V: 24.69 A^3/atom
Energy of formation: 0.03 eV per atom
Magnetic moment: 0.00 Bohr magnetons per cell
Symmetry: R3m (160)

Cell: 7.821 7.821 7.821 Å, 83.19 83.19 83.19°
Element x y z (fractional)
Tl 0.000 0.000 0.000
Tl 0.321 0.321 0.321
Cd 0.020 0.020 0.504
Cd 0.020 0.504 0.020
Cd 0.158 0.666 0.666
Cd 0.304 0.304 0.823
Cd 0.304 0.823 0.304
Cd 0.363 0.662 0.963
Cd 0.363 0.963 0.662
Cd 0.504 0.020 0.020
Cd 0.662 0.363 0.963
Cd 0.662 0.963 0.363
Cd 0.666 0.158 0.666
Cd 0.666 0.666 0.158
Cd 0.762 0.762 0.762
Cd 0.823 0.304 0.304
Cd 0.963 0.363 0.662
Cd 0.963 0.662 0.363
Hg 0.551 0.551 0.551



No. 19
DFT (PBE) results for crystalline Tl9Cd2Hg at its relaxed geometry.

## Properties
V: 28.98 A^3/atom
Energy of formation: 0.04 eV per atom
Magnetic moment: 0.00 Bohr magnetons per cell
Symmetry: P4/mmm (123)

Cell: 4.872 4.872 14.651 Å, 90.00 90.00 90.00°
Element x y z (fractional)
Tl 0.000 0.000 0.000
Tl 0.000 0.000 0.335
Tl 0.000 0.000 0.665
Tl 0.000 0.500 0.169
Tl 0.000 0.500 0.500
Tl 0.000 0.500 0.831
Tl 0.500 0.000 0.169
Tl 0.500 0.000 0.500
Tl 0.500 0.000 0.831
Cd 0.500 0.500 0.332
Cd 0.500 0.500 0.668
Hg 0.500 0.500 0.000